(1)
DFT (GGA-PBE) results for a geometry-optimized NdHoCu2 structure.

a = 3.823 Å, b = 4.501 Å, c = 5.585 Å
α = 90.00°, β = 110.48°, γ = 90.00°
Sites, in units of the cell vectors:
Nd: 0.727 0.000 0.991
Ho: 0.443 0.500 0.426
Cu: 0.151 0.500 0.837
Cu: 0.011 0.000 0.564

spin magnetization = 0.00 μB per formula unit
uncorrected energy = -0.16892 Ha/atom
D(E_F) = 0.71 states/eV/atom
space-group type = No. 6

---

(2)
DFT (GGA-PBE) results for a geometry-optimized MgMnInP2 structure.

a = 4.342 Å, b = 5.246 Å, c = 4.342 Å
α = 90.00°, β = 90.00°, γ = 90.00°
Last column: magnetic moment on the atom in μB.
Sites, in units of the cell vectors:
In: 0.000 0.500 0.000  -0.01
P: 0.500 0.000 0.000  -0.03
Mn: 0.000 0.000 0.000  0.34
Mg: 0.500 0.500 0.500  0.00
P: 0.000 0.000 0.500  -0.03

spin magnetization = 0.22 μB per formula unit
uncorrected energy = -0.17037 Ha/atom
D(E_F) = 0.63 states/eV/atom
space-group type = No. 123

---

(3)
DFT (GGA-PBE) results for a geometry-optimized AlNiMo4 structure.

a = 5.173 Å, b = 5.173 Å, c = 5.173 Å
α = 60.00°, β = 60.00°, γ = 60.00°
Sites, in units of the cell vectors:
Al: 0.000 0.000 0.000
Mo: 0.375 0.874 0.375
Mo: 0.375 0.375 0.375
Mo: 0.874 0.375 0.375
Mo: 0.375 0.375 0.874
Ni: 0.750 0.750 0.750

spin magnetization = 0.00 μB per formula unit
uncorrected energy = -0.30769 Ha/atom
D(E_F) = 1.02 states/eV/atom
space-group type = No. 216

---

(4)
DFT (GGA-PBE) results for a geometry-optimized ZrTaIrW structure.

a = 4.616 Å, b = 4.616 Å, c = 4.616 Å
α = 60.00°, β = 60.00°, γ = 60.00°
Sites, in units of the cell vectors:
Zr: 0.250 0.250 0.250
Ta: 0.750 0.750 0.750
Ir: 0.000 0.000 0.000
W: 0.500 0.500 0.500

spin magnetization = 0.00 μB per formula unit
uncorrected energy = -0.40117 Ha/atom
D(E_F) = 0.19 states/eV/atom
space-group type = No. 216